A geometry-optimized PmHf structure. Source: the Open Quantum Materials Database, functional PBE.

a b c (Å): 4.356 4.356 4.356
angles (deg): 60.00 60.00 60.00
Fractional coordinates of all 2 atoms:
Hf 0.000 0.000 0.000
Pm 0.500 0.500 0.500

Summary:
ΔE to the lowest computed polymorph = 831.2 meV/atom
Space-group type = No. 225
Formation enthalpy at 0 K = 105.59 kJ/mol of atoms
Total magnetic moment = 0.0 μB/cell
Crystal system = cubic
Uncorrected energy = -12.5 eV/cell